(1)
Ca3Ge3Au2: relaxed, PBE.

The structure in POSCAR format:
```
Ca3Ge3Au2
1.0
2.247 -5.389 0.000
2.247 5.389 0.000
0.000 0.000 14.951
Ca Ge Au
6 6 4
direct
0.100 0.900 0.610 Ca
0.100 0.900 0.890 Ca
0.374 0.626 0.750 Ca
0.626 0.374 0.250 Ca
0.900 0.100 0.110 Ca
0.900 0.100 0.390 Ca
0.334 0.666 0.250 Ge
0.393 0.607 0.535 Ge
0.393 0.607 0.965 Ge
0.607 0.393 0.035 Ge
0.607 0.393 0.465 Ge
0.666 0.334 0.750 Ge
0.192 0.808 0.104 Au
0.192 0.808 0.396 Au
0.808 0.192 0.604 Au
0.808 0.192 0.896 Au
```

(2)
Ca12Ge5Au3: relaxed, PBE.

The structure in POSCAR format:
```
Ca12Ge5Au3
1.0
-8.847 8.847 8.847
8.847 -8.847 8.847
8.847 8.847 -8.847
Ca Ge Au
48 20 12
direct
0.042 0.215 0.122 Ca
0.042 0.327 0.919 Ca
0.081 0.622 0.408 Ca
0.081 0.958 0.673 Ca
0.092 0.715 0.673 Ca
0.092 0.878 0.419 Ca
0.122 0.042 0.215 Ca
0.122 0.581 0.908 Ca
0.173 0.215 0.592 Ca
0.173 0.458 0.581 Ca
0.215 0.122 0.042 Ca
0.215 0.592 0.173 Ca
0.285 0.327 0.908 Ca
0.285 0.458 0.378 Ca
0.327 0.908 0.285 Ca
0.327 0.919 0.042 Ca
0.378 0.285 0.458 Ca
0.378 0.592 0.919 Ca
0.408 0.081 0.622 Ca
0.408 0.827 0.785 Ca
0.419 0.092 0.878 Ca
0.419 0.827 0.542 Ca
0.458 0.378 0.285 Ca
0.458 0.581 0.173 Ca
0.542 0.419 0.827 Ca
0.542 0.622 0.715 Ca
0.581 0.173 0.458 Ca
0.581 0.908 0.122 Ca
0.592 0.173 0.215 Ca
0.592 0.919 0.378 Ca
0.622 0.408 0.081 Ca
0.622 0.715 0.542 Ca
0.673 0.081 0.958 Ca
0.673 0.092 0.715 Ca
0.715 0.542 0.622 Ca
0.715 0.673 0.092 Ca
0.785 0.408 0.827 Ca
0.785 0.878 0.958 Ca
0.827 0.542 0.419 Ca
0.827 0.785 0.408 Ca
0.878 0.419 0.092 Ca
0.878 0.958 0.785 Ca
0.908 0.122 0.581 Ca
0.908 0.285 0.327 Ca
0.919 0.042 0.327 Ca
0.919 0.378 0.592 Ca
0.958 0.673 0.081 Ca
0.958 0.785 0.878 Ca
0.000 0.000 0.000 Ge
0.000 0.000 0.500 Ge
0.000 0.500 0.000 Ge
0.000 0.500 0.500 Ge
0.125 0.750 0.875 Ge
0.125 0.875 0.250 Ge
0.250 0.125 0.875 Ge
0.250 0.625 0.375 Ge
0.375 0.250 0.625 Ge
0.375 0.625 0.750 Ge
0.500 0.000 0.000 Ge
0.500 0.000 0.500 Ge
0.500 0.500 0.000 Ge
0.500 0.500 0.500 Ge
0.625 0.375 0.250 Ge
0.625 0.750 0.375 Ge
0.750 0.375 0.625 Ge
0.750 0.875 0.125 Ge
0.875 0.125 0.750 Ge
0.875 0.250 0.125 Ge
0.125 0.250 0.375 Au
0.125 0.375 0.750 Au
0.250 0.375 0.125 Au
0.250 0.875 0.625 Au
0.375 0.125 0.250 Au
0.375 0.750 0.125 Au
0.625 0.250 0.875 Au
0.625 0.875 0.750 Au
0.750 0.125 0.375 Au
0.750 0.625 0.875 Au
0.875 0.625 0.250 Au
0.875 0.750 0.625 Au
```

(3)
Ca3Ge3Au: relaxed, PBE.

The structure in POSCAR format:
```
Ca3Ge3Au
1.0
5.400 -2.261 0.000
5.400 2.261 0.000
-5.110 0.000 13.587
Ca Ge Au
6 6 2
direct
0.047 0.047 0.382 Ca
0.100 0.100 0.923 Ca
0.245 0.245 0.227 Ca
0.755 0.755 0.773 Ca
0.900 0.900 0.077 Ca
0.953 0.953 0.618 Ca
0.375 0.375 0.460 Ge
0.391 0.391 0.925 Ge
0.465 0.465 0.774 Ge
0.535 0.535 0.226 Ge
0.609 0.609 0.075 Ge
0.625 0.625 0.540 Ge
0.243 0.243 0.615 Au
0.757 0.757 0.385 Au
```

(4)
Ca2GeAu: relaxed, PBE.

The structure in POSCAR format:
```
Ca2GeAu
1.0
5.841 0.000 0.000
0.000 4.529 0.000
-2.880 0.000 7.758
Ca Ge Au
4 2 2
direct
0.208 0.250 0.424 Ca
0.284 0.750 0.067 Ca
0.716 0.250 0.933 Ca
0.792 0.750 0.576 Ca
0.362 0.750 0.710 Ge
0.638 0.250 0.290 Ge
0.151 0.250 0.784 Au
0.849 0.750 0.216 Au
```

(5)
Ca2Ge3Au: relaxed, PBE.

The structure in POSCAR format:
```
Ca2Ge3Au
1.0
0.000 7.441 8.632
4.313 0.000 8.632
4.313 7.441 0.000
Ca Ge Au
8 12 4
direct
0.003 0.003 0.247 Ca
0.247 0.247 0.003 Ca
0.247 0.247 0.503 Ca
0.497 0.497 0.753 Ca
0.503 0.503 0.247 Ca
0.753 0.753 0.497 Ca
0.753 0.753 0.997 Ca
0.997 0.997 0.753 Ca
0.064 0.716 0.523 Ge
0.197 0.523 0.716 Ge
0.210 0.540 0.210 Ge
0.284 0.936 0.803 Ge
0.460 0.790 0.460 Ge
0.477 0.803 0.936 Ge
0.523 0.197 0.064 Ge
0.540 0.210 0.540 Ge
0.716 0.064 0.197 Ge
0.790 0.460 0.790 Ge
0.803 0.477 0.284 Ge
0.936 0.284 0.477 Ge
0.040 0.710 0.040 Au
0.290 0.960 0.290 Au
0.710 0.040 0.710 Au
0.960 0.290 0.960 Au
```

(6)
CaGe4Au12: relaxed, PBE.

The structure in POSCAR format:
```
CaGe4Au12
1.0
-4.526 4.526 4.526
4.526 -4.526 4.526
4.526 4.526 -4.526
Ca Ge Au
1 4 12
direct
0.000 0.000 0.000 Ca
0.000 0.000 0.500 Ge
0.000 0.500 0.000 Ge
0.500 0.000 0.000 Ge
0.500 0.500 0.500 Ge
0.154 0.344 0.497 Au
0.154 0.656 0.810 Au
0.190 0.846 0.344 Au
0.344 0.190 0.846 Au
0.344 0.497 0.154 Au
0.497 0.154 0.344 Au
0.503 0.846 0.656 Au
0.656 0.503 0.846 Au
0.656 0.810 0.154 Au
0.810 0.154 0.656 Au
0.846 0.344 0.190 Au
0.846 0.656 0.503 Au
```

(7)
CaGe3Au: relaxed, PBE.

The structure in POSCAR format:
```
CaGe3Au
1.0
5.384 0.000 0.000
0.000 5.384 0.000
0.000 0.000 5.384
Ca Ge Au
1 3 1
direct
0.000 0.000 0.000 Ca
0.000 0.000 0.500 Ge
0.000 0.500 0.000 Ge
0.500 0.000 0.000 Ge
0.500 0.500 0.500 Au
```

(8)
CaGe2Au: relaxed, PBE.

The structure in POSCAR format:
```
CaGe2Au
1.0
2.754 -4.681 0.000
2.754 4.681 0.000
0.000 0.000 3.272
Ca Ge Au
1 2 1
direct
0.000 0.000 0.000 Ca
0.000 0.500 0.500 Ge
0.500 0.000 0.500 Ge
0.500 0.500 0.500 Au
```

Calculated E_tot in order - -0.2931; -0.2278; -0.2938; -0.2691; -0.3022; -0.2571; -0.1967; -0.2908 Ry per atom